Entry 1:
The following is a PBE calculation of an optimized crystal structure of Ta2AlSnN, from the Alexandria database.

Cell lengths 4.177, 4.906, 4.177 Å; angles 90.00, 90.00, 90.00 degrees
Element x y z (fractional)
N  0.000  0.000  0.000
Al  0.500  0.500  0.500
Sn  0.000  0.500  0.000
Ta  0.000  0.000  0.500
Ta  0.500  0.000  0.000

Computed properties:
**V**: 85.57 Å³ per cell
**Symmetry**: P4/mmm
**DOS(E_F)**: 3.45 states/eV/f.u.



Entry 2:
The following is a PBE calculation of an optimized crystal structure of Al8VZn2, from the Alexandria database.

Cell lengths 3.841, 6.529, 7.345 Å; angles 101.83, 105.16, 90.00 degrees
Element x y z (fractional)
Al  0.409  0.578  0.819
Al  0.679  0.896  0.359
Al  0.865  0.840  0.730
Al  0.956  0.274  0.912
Al  0.135  0.160  0.270
Al  0.321  0.104  0.641
Al  0.591  0.422  0.181
Al  0.044  0.726  0.088
V  0.500  0.000  0.000
Zn  0.783  0.391  0.567
Zn  0.217  0.609  0.433

Computed properties:
**Formation enthalpy at 0 K**: -55.3 kJ/mol of formula units
**V**: 173.73 Å³ per cell
**Symmetry**: C2/m
**DOS(E_F)**: 5.23 states/eV/f.u.



Entry 3:
The following is a PBE calculation of an optimized crystal structure of In2PSe, from the Alexandria database.

Cell lengths 3.777, 3.850, 6.911 Å; angles 91.13, 90.00, 90.00 degrees
Element x y z (fractional)
In  0.000  0.172  0.784
In  0.000  0.828  0.216
P  0.500  0.500  0.000
Se  0.500  0.000  0.500

Computed properties:
**V**: 100.47 Å³ per cell
**Offset from the most stable computed form**: 1.30 eV per formula unit
**Symmetry**: P2/m
**DOS(E_F)**: 2.10 states/eV/f.u.



Entry 4:
The following is a PBE calculation of an optimized crystal structure of Ce2AlSiNi6, from the Alexandria database.

Cell lengths 7.599, 5.255, 5.255 Å; angles 60.04, 69.71, 90.00 degrees
Last column: magnetic moment on the atom in μB.
Element x y z (fractional)
Ce  0.309  0.769  0.460  -0.11
Ce  0.691  0.231  0.540  -0.11
Al  0.500  0.500  0.000  0.00
Si  0.000  0.000  0.000  0.00
Ni  0.228  0.735  0.018  0.01
Ni  0.771  0.754  0.982  0.01
Ni  0.227  0.246  0.507  0.01
Ni  0.772  0.265  0.982  0.01
Ni  0.229  0.246  0.018  0.01
Ni  0.773  0.754  0.493  0.01

Computed properties:
**V**: 166.61 Å³ per cell
**Symmetry**: C2/m
**DOS(E_F)**: 8.67 states/eV/f.u.



Entry 5:
The following is a PBE calculation of an optimized crystal structure of Mg2PaOsO8, from the Alexandria database.

Cell lengths 4.746, 4.744, 6.565 Å; angles 90.00, 90.00, 91.16 degrees
Last column: magnetic moment on the atom in μB.
Element x y z (fractional)
Mg  0.500  0.500  0.755  0.00
Mg  0.500  0.500  0.245  0.00
Pa  0.000  0.000  0.500  0.05
Os  0.000  0.000  0.000  0.61
O  0.194  0.805  0.217  0.07
O  0.721  0.722  0.000  -0.01
O  0.806  0.195  0.217  0.07
O  0.806  0.195  0.783  0.07
O  0.279  0.278  0.000  -0.01
O  0.194  0.805  0.783  0.07
O  0.695  0.696  0.500  0.00
O  0.305  0.304  0.500  0.00

Computed properties:
**V**: 147.77 Å³ per cell
**Symmetry**: Cmmm
**DOS(E_F)**: 1.87 states/eV/f.u.



Entry 6:
The following is a PBE calculation of an optimized crystal structure of Y2PSe, from the Alexandria database.

Cell lengths 5.064, 5.064, 5.064 Å; angles 126.82, 114.50, 89.20 degrees
Element x y z (fractional)
Y  0.755  0.755  0.000
Y  0.245  0.245  0.000
P  0.000  0.500  0.500
Se  0.500  0.000  0.500

Computed properties:
**V**: 89.56 Å³ per cell
**Offset from the most stable computed form**: 1.90 eV per formula unit
**Symmetry**: Immm
**DOS(E_F)**: 2.09 states/eV/f.u.



Entry 7:
The following is a PBE calculation of an optimized crystal structure of YErTlIr, from the Alexandria database.

Cell lengths 3.459, 3.459, 7.999 Å; angles 90.00, 90.00, 90.00 degrees
Element x y z (fractional)
Y  0.500  0.500  0.364
Er  0.500  0.500  0.776
Tl  0.000  0.000  0.068
Ir  0.000  0.000  0.576

Computed properties:
**Formation enthalpy at 0 K**: -239.6 kJ/mol of formula units
**V**: 95.70 Å³ per cell
**Offset from the most stable computed form**: 0.00 eV per formula unit
**Symmetry**: P4mm
**DOS(E_F)**: 3.23 states/eV/f.u.



Entry 8:
The following is a PBE calculation of an optimized crystal structure of Y3AlCd, from the Alexandria database.

Cell lengths 5.143, 5.141, 10.493 Å; angles 90.00, 75.81, 90.00 degrees
Element x y z (fractional)
Y  0.760  0.250  0.129
Y  0.389  0.250  0.870
Y  0.574  0.250  0.500
Y  0.259  0.750  0.130
Y  0.888  0.750  0.871
Y  0.074  0.750  0.500
Al  0.666  0.750  0.316
Al  0.982  0.250  0.684
Cd  0.482  0.750  0.684
Cd  0.166  0.250  0.316

Computed properties:
**Formation enthalpy at 0 K**: -142.6 kJ/mol of formula units
**V**: 268.98 Å³ per cell
**Offset from the most stable computed form**: 0.00 eV per formula unit
**Symmetry**: Cmcm
**DOS(E_F)**: 4.83 states/eV/f.u.



Entry 9:
The following is a PBE calculation of an optimized crystal structure of Y3InO, from the Alexandria database.

Cell lengths 9.101, 9.101, 9.101 Å; angles 60.00, 60.00, 60.00 degrees
Last column: magnetic moment on the atom in μB.
Element x y z (fractional)
Y  0.811  0.189  0.189  0.26
Y  0.061  0.439  0.439  0.27
Y  0.439  0.439  0.061  0.26
Y  0.439  0.061  0.061  0.26
Y  0.061  0.439  0.061  0.27
Y  0.811  0.189  0.811  0.26
Y  0.439  0.061  0.439  0.26
Y  0.061  0.061  0.439  0.28
Y  0.189  0.811  0.189  0.27
Y  0.189  0.811  0.811  0.27
Y  0.189  0.189  0.811  0.28
Y  0.811  0.811  0.189  0.26
O  0.125  0.125  0.125  -0.02
O  0.125  0.625  0.125  -0.02
O  0.625  0.125  0.125  -0.03
O  0.125  0.125  0.625  -0.02
In  0.625  0.625  0.625  -0.01
In  0.625  0.125  0.625  0.00
In  0.125  0.625  0.625  -0.02
In  0.625  0.625  0.125  -0.01

Computed properties:
**V**: 532.98 Å³ per cell
**Symmetry**: Fd-3m
**DOS(E_F)**: 3.84 states/eV/f.u.



Entry 10:
The following is a PBE calculation of an optimized crystal structure of Pm7PbI12, from the Alexandria database.

Cell lengths 10.025, 10.025, 10.025 Å; angles 108.20, 108.20, 108.20 degrees
Element x y z (fractional)
Pm  0.956  0.665  0.886
Pm  0.335  0.114  0.044
Pm  0.114  0.044  0.335
Pm  0.500  0.500  0.500
Pm  0.886  0.956  0.665
Pm  0.665  0.886  0.956
Pm  0.044  0.335  0.114
Pb  0.000  0.000  0.000
I  0.921  0.307  0.768
I  0.693  0.232  0.079
I  0.474  0.156  0.395
I  0.844  0.605  0.526
I  0.232  0.079  0.693
I  0.605  0.526  0.844
I  0.395  0.474  0.156
I  0.768  0.921  0.307
I  0.156  0.395  0.474
I  0.526  0.844  0.605
I  0.307  0.768  0.921
I  0.079  0.693  0.232

Computed properties:
**V**: 809.94 Å³ per cell
**Symmetry**: R-3
**DOS(E_F)**: 10.44 states/eV/f.u.



Number 1: calculated total energy -7.903 eV per atom. Number 2: calculated total energy -3.835 eV per atom. Number 3: calculated total energy -3.535 eV per atom. Number 4: calculated total energy -5.883 eV per atom. Number 5: calculated total energy -7.579 eV per atom. Number 6: calculated total energy -6.777 eV per atom. Number 7: calculated total energy -6.184 eV per atom. Number 8: calculated total energy -5.105 eV per atom. Number 9: calculated total energy -6.414 eV per atom. Number 10: calculated total energy -3.998 eV per atom.